Computed, not measured: a relaxed structure of KNa8Tl4 at the PBE level of DFT.

It has space group I4/mmm (No. 139), with a = 11.3901 Å, b = 11.3901 Å, c = 6.6827 Å, α = 90.00°, β = 90.00° and γ = 90.00°. Symmetry generates all atoms from K at (0.0000, 0.0000, 0.0000), Na at (0.0000, 0.2242, 0.5000), Na at (0.0000, 0.3396, 0.0000) and Tl at (0.2500, 0.2500, 0.2500).

For the formation energy, the calculation gives -0.0892 eV per atom. The magnetic moment is 0.00 μB/f.u. The density of states at the Fermi level is 0.521 states/eV/atom. The calculated volume comes out at 33.35 Å³ per atom.